(1)
The following is a DFT calculation (GGA-PBE) of a relaxed TbTlRh crystal.

Formation enthalpy at 0 K ... -565 meV per atom
Space group ... Pmma
E ... -5.3479 eV/atom

```
18
Lattice="13.340 0.000 0.000 0.000 3.806 0.000 0.000 0.000 7.917" Properties=species:S:1:pos:R:3 pbc="T T T"
Tb 0.631 0.000 1.711
Tb 3.335 0.000 6.618
Tb 6.039 0.000 1.711
Tb 7.301 0.000 6.206
Tb 10.005 0.000 1.298
Tb 12.709 0.000 6.206
Tl 1.507 1.903 4.516
Tl 3.335 1.903 1.456
Tl 5.163 1.903 4.516
Tl 8.176 1.903 3.401
Tl 10.005 1.903 6.461
Tl 11.833 1.903 3.401
Rh 1.295 1.903 7.405
Rh 3.335 0.000 3.514
Rh 5.375 1.903 7.405
Rh 7.965 1.903 0.512
Rh 10.005 0.000 4.403
Rh 12.045 1.903 0.512
```



(2)
The following is a DFT calculation (GGA-PBE) of a relaxed Tb4TlRh3 crystal.

Formation enthalpy at 0 K ... -659 meV per atom
Space group ... P4/mmm
E ... -6.0268 eV/atom

```
8
Lattice="4.916 0.000 0.000 0.000 4.916 0.000 0.000 0.000 7.337" Properties=species:S:1:pos:R:3 pbc="T T T"
Tb 0.000 2.458 1.699
Tb 0.000 2.458 5.638
Tb 2.458 0.000 1.699
Tb 2.458 0.000 5.638
Tl 0.000 0.000 3.668
Rh 0.000 0.000 0.000
Rh 2.458 2.458 0.000
Rh 2.458 2.458 3.668
```



(3)
The following is a DFT calculation (GGA-PBE) of a relaxed Tb6Tl3Rh crystal.

Formation enthalpy at 0 K ... -361 meV per atom
Space group ... P2_1/m
E ... -4.5839 eV/atom

```
20
Lattice="9.348 0.000 0.000 0.000 5.318 0.000 -3.208 0.000 10.876" Properties=species:S:1:pos:R:3 pbc="T T T"
Tb -0.902 1.329 4.487
Tb 1.206 3.988 1.842
Tb 2.661 1.329 0.010
Tb 0.614 3.988 9.034
Tb 2.403 1.329 3.697
Tb 1.701 1.329 7.003
Tb 4.439 3.988 3.874
Tb 3.736 3.988 7.180
Tb 5.525 1.329 1.842
Tb 3.478 3.988 10.866
Tb 4.933 1.329 9.035
Tb 7.042 3.988 6.389
Tl -2.721 3.988 9.606
Tl -1.329 1.329 7.785
Tl 1.080 3.988 5.207
Tl 5.060 1.329 5.669
Tl 7.469 3.988 3.092
Tl 8.861 1.329 1.270
Rh 3.960 3.988 1.052
Rh 2.179 1.329 9.825
```



(4)
The following is a DFT calculation (GGA-PBE) of a relaxed Tb2TlRh crystal.

Formation enthalpy at 0 K ... -604 meV per atom
Space group ... P4/mmm
E ... -5.3490 eV/atom

```
4
Lattice="3.546 0.000 0.000 0.000 3.546 0.000 0.000 0.000 7.659" Properties=species:S:1:pos:R:3 pbc="T T T"
Tb 0.000 0.000 1.646
Tb 0.000 0.000 6.013
Tl 1.773 1.773 3.830
Rh 1.773 1.773 0.000
```



(5)
The following is a DFT calculation (GGA-PBE) of a relaxed Tb5Tl4Rh crystal.

Formation enthalpy at 0 K ... -459 meV per atom
Space group ... P4/mmm
E ... -4.4562 eV/atom

```
10
Lattice="3.535 0.000 0.000 0.000 3.535 0.000 0.000 0.000 20.866" Properties=species:S:1:pos:R:3 pbc="T T T"
Tb 0.000 0.000 0.000
Tb 0.000 0.000 4.347
Tb 0.000 0.000 8.768
Tb 0.000 0.000 12.098
Tb 0.000 0.000 16.519
Tl 1.767 1.767 2.171
Tl 1.767 1.767 6.505
Tl 1.767 1.767 14.361
Tl 1.767 1.767 18.696
Rh 1.767 1.767 10.433
```



(6)
The following is a DFT calculation (GGA-PBE) of a relaxed Tb12Tl6Rh crystal.

Formation enthalpy at 0 K ... -202 meV per atom
Space group ... R-3
E ... -4.2606 eV/atom

```
19
Lattice="6.110 3.528 4.493 -6.110 3.528 4.493 0.000 -7.055 4.493" Properties=species:S:1:pos:R:3 pbc="T T T"
Tb -5.377 -1.544 7.526
Tb -1.351 -5.429 5.954
Tb -1.351 -1.664 5.075
Tb -4.026 3.884 5.954
Tb -0.765 2.002 5.075
Tb -2.116 0.339 8.406
Tb 2.116 -0.339 5.075
Tb 0.765 -2.002 8.406
Tb 4.026 -3.884 7.526
Tb 1.351 1.664 8.406
Tb 1.351 5.429 7.526
Tb 5.377 1.544 5.954
Tl -3.790 0.666 5.763
Tl -2.472 -2.950 7.717
Tl 1.319 -3.615 5.763
Tl -1.319 3.615 7.717
Tl 2.472 2.950 5.763
Tl 3.790 -0.666 7.717
Rh 0.000 0.000 6.740
```



(7)
The following is a DFT calculation (GGA-PBE) of a relaxed Tb8Tl2Rh3 crystal.

Formation enthalpy at 0 K ... -438 meV per atom
Space group ... P2/m
E ... -5.3478 eV/atom

```
13
Lattice="8.884 0.000 0.000 0.000 4.941 0.000 -3.363 0.000 8.231" Properties=species:S:1:pos:R:3 pbc="T T T"
Tb -0.319 0.000 3.198
Tb -1.657 2.471 7.141
Tb 1.103 2.471 5.286
Tb 3.044 0.000 0.940
Tb 2.477 0.000 7.291
Tb 4.418 2.471 2.946
Tb 7.178 2.471 1.090
Tb 5.840 0.000 5.033
Tl 1.300 2.471 2.118
Tl 4.222 2.471 6.113
Rh -0.307 0.000 6.167
Rh 4.442 2.471 0.000
Rh 5.828 0.000 2.064
```



(8)
The following is a DFT calculation (GGA-PBE) of a relaxed Tb6TlRh3 crystal.

Formation enthalpy at 0 K ... -549 meV per atom
Space group ... P2_1/m
E ... -5.7693 eV/atom

```
20
Lattice="10.791 0.000 0.000 0.000 4.469 0.000 -4.385 0.000 10.980" Properties=species:S:1:pos:R:3 pbc="T T T"
Tb -1.485 1.117 4.255
Tb -2.999 1.117 10.270
Tb 1.052 3.352 3.325
Tb 0.042 3.352 8.769
Tb 1.465 1.117 6.184
Tb 3.734 3.352 1.127
Tb 2.672 1.117 9.853
Tb 4.940 3.352 4.797
Tb 6.364 1.117 2.211
Tb 5.354 1.117 7.655
Tb 9.404 3.352 0.711
Tb 7.891 3.352 6.725
Tl 3.243 1.117 3.345
Tl 3.163 3.352 7.635
Rh 0.042 1.117 1.877
Rh -0.287 3.352 5.757
Rh -0.016 1.117 10.526
Rh 6.422 3.352 0.454
Rh 6.693 1.117 5.224
Rh 6.363 3.352 9.103
```



no.,total magnetization (μB per formula unit)
1,0.00
2,0.00
3,0.00
4,0.00
5,0.42
6,0.00
7,0.00
8,0.00